First-principles (PBE-GGA) data for an optimized crystal structure of Li4DyPt2, as listed in Alexandria.

```
Li4DyPt2
1.0
4.111 0.000 0.000
0.000 7.572 0.000
0.000 0.000 7.572
Li Pt Dy
8 4 2
Direct
0.500 0.153 0.599 Li
0.000 0.653 0.901 Li
0.500 0.599 0.153 Li
0.500 0.401 0.847 Li
0.000 0.901 0.653 Li
0.500 0.847 0.401 Li
0.000 0.099 0.347 Li
0.000 0.347 0.099 Li
0.500 0.295 0.295 Pt
0.000 0.795 0.205 Pt
0.500 0.705 0.705 Pt
0.000 0.205 0.795 Pt
0.500 0.000 0.000 Dy
0.000 0.500 0.500 Dy
```

Output
E_form in meV per atom: -608
SG: P4_2/mnm, No. 136